Entry 1:
5
Lattice="3.8298 0.0000 0.0000 0.0000 3.8298 0.0000 0.0000 0.0000 5.3919" Properties=species:S:1:pos:R:3 comment="AlTeMoN2, single point on PBEsol structure, DFT meta-GGA SCAN" space_group="P4/mmm (123)" raw_formation_energy_ev_per_atom=0.950 vol_a3_per_cell=79.1 magmom_total_mub_per_atom=0.158 pbc="T T T"
Al 0.0000 0.0000 0.0000
Te 0.0000 0.0000 2.6959
Mo 1.9149 1.9149 2.6959
N 0.0000 1.9149 0.0000
N 1.9149 0.0000 0.0000


Entry 2:
5
Lattice="4.6590 0.0000 0.0000 0.0000 4.6590 0.0000 0.0000 0.0000 4.6590" Properties=species:S:1:pos:R:3 comment="PdRuPt3, single point on PBEsol structure, DFT meta-GGA SCAN" delta_e_f_ev_per_atom=1.50 space_group="Pm-3m (221)" vol_a3_per_cell=101.1 magmom_total_mub_per_atom=0.000 pbc="T T T"
Pd 0.0000 0.0000 0.0000
Ru 2.3295 2.3295 2.3295
Pt 0.0000 2.3295 2.3295
Pt 2.3295 0.0000 2.3295
Pt 2.3295 2.3295 0.0000


Entry 3:
5
Lattice="4.4531 0.0000 0.0000 0.0000 4.4531 0.0000 0.0000 0.0000 4.4531" Properties=species:S:1:pos:R:3 comment="SiHPt3, single point on PBEsol structure, DFT meta-GGA SCAN" space_group="Pm-3m (221)" vol_a3_per_cell=88.3 magmom_total_mub_per_atom=0.190 energy_ev_per_atom=-43.951 pbc="T T T"
Si 0.0000 0.0000 0.0000
H 2.2266 2.2266 2.2266
Pt 0.0000 0.0000 2.2266
Pt 0.0000 2.2266 0.0000
Pt 2.2266 0.0000 0.0000